[1]
Tl2ZnPdPt meta-GGA SCAN single point on PBEsol structure; E_form = 11.1 kcal/mol of atoms; total magnetization = 0.00 μB per formula unit; electronic total energy = -258.80 eV/cell
1.0
4.640 0.000 0.000
0.000 5.070 0.000
0.000 0.000 5.070
Zn Tl Pd Pt
1 2 1 1
Direct
0.500 0.000 0.000
0.000 0.000 0.500
0.000 0.500 0.000
0.000 0.000 0.000
0.500 0.500 0.500

---

[2]
Zn2PdPt meta-GGA SCAN single point on PBEsol structure; E_form = -13.7 kcal/mol of atoms; total magnetization = 0.00 μB per formula unit; electronic total energy = -132.37 eV/cell
1.0
-4.267 -0.175 -0.159
-2.243 -0.730 3.563
-2.333 3.132 1.736
Zn Pd Pt
2 1 1
Direct
0.250 0.250 0.250
0.750 0.750 0.750
0.000 0.000 0.000
0.500 0.500 0.500